KLaSi2 after structural relaxation. Source: Alexandria, functional PBE.

Cell lengths 9.211, 9.211, 9.211 Å; angles 25.25, 25.25, 25.25 degrees
Each line ends with the local moment (μB).
Element x y z (fractional)
Si  0.974  0.974  0.974  0.02
Si  0.286  0.286  0.286  0.00
K  0.528  0.528  0.528  0.01
La  0.713  0.713  0.713  0.22

Results
Its energy above the lowest structure with this stoichiometry is 0.57 eV/f.u. The total energy is -17.404 eV for the cell shown. As for the uncorrected formation energy: -0.13 eV/atom. The symmetry is No. 160. As for the volume: 125.2 Å³/cell. The value obtained for the magnetic moment is 0.76 μB per formula unit.

---

KLaSi2 after structural relaxation. Source: Alexandria, functional PBE.

Cell lengths 7.547, 5.548, 3.465 Å; angles 90.06, 62.58, 122.44 degrees
Element x y z (fractional)
Si  0.500  0.000  0.500
Si  0.000  0.000  0.000
K  0.000  0.500  0.500
La  0.500  0.500  0.000

Results
Its energy above the lowest structure with this stoichiometry is 1.48 eV/f.u. The total energy is -16.496 eV for the cell shown. As for the uncorrected formation energy: 0.09 eV/atom. The symmetry is No. 65. As for the volume: 102.6 Å³/cell. The value obtained for the magnetic moment is 0.00 μB per formula unit.

---

KLaSi2 after structural relaxation. Source: Alexandria, functional PBE.

Cell lengths 3.455, 3.454, 9.452 Å; angles 90.00, 90.00, 90.00 degrees
Element x y z (fractional)
Si  0.000  0.000  0.065
La  0.500  0.500  0.847
K  0.000  0.000  0.426
Si  0.500  0.500  0.162

Results
Its energy above the lowest structure with this stoichiometry is 1.20 eV/f.u. The total energy is -16.772 eV for the cell shown. As for the uncorrected formation energy: 0.02 eV/atom. The symmetry is No. 99. As for the volume: 112.8 Å³/cell. The value obtained for the magnetic moment is 0.00 μB per formula unit.

---

KLaSi2 after structural relaxation. Source: Alexandria, functional PBE.

Cell lengths 7.129, 7.129, 4.764 Å; angles 70.45, 70.45, 31.94 degrees
Element x y z (fractional)
La  0.764  0.764  0.736
K  0.526  0.526  0.474
Si  0.299  0.299  0.201
Si  0.911  0.911  0.089

Results
Its energy above the lowest structure with this stoichiometry is 0.20 eV/f.u. The total energy is -17.773 eV for the cell shown. As for the uncorrected formation energy: -0.23 eV/atom. The symmetry is No. 44. As for the volume: 120.1 Å³/cell. The value obtained for the magnetic moment is 0.00 μB per formula unit.

---

K3LaSi after structural relaxation. Source: Alexandria, functional PBE.

Cell lengths 6.435, 6.435, 6.435 Å; angles 90.00, 90.00, 90.00 degrees
Each line ends with the local moment (μB).
Element x y z (fractional)
K  0.000  0.000  0.500  -0.01
K  0.500  0.000  0.000  -0.01
K  0.000  0.500  0.000  -0.01
Si  0.000  0.000  0.000  -0.35
La  0.500  0.500  0.500  0.53

Results
Its energy above the lowest structure with this stoichiometry is 0.00 eV/f.u. The total energy is -9.775 eV for the cell shown. As for the uncorrected formation energy: 0.77 eV/atom. The symmetry is No. 221. As for the volume: 266.4 Å³/cell. The value obtained for the magnetic moment is 0.11 μB per formula unit.

---

KLaSi2 after structural relaxation. Source: Alexandria, functional PBE.

Cell lengths 4.730, 4.732, 4.506 Å; angles 90.00, 90.00, 90.00 degrees
Element x y z (fractional)
La  0.000  0.500  0.500
Si  0.500  0.500  0.000
K  0.500  0.000  0.500
Si  0.000  0.000  0.000

Results
Its energy above the lowest structure with this stoichiometry is 1.35 eV/f.u. The total energy is -16.619 eV for the cell shown. As for the uncorrected formation energy: 0.06 eV/atom. The symmetry is No. 123. As for the volume: 100.9 Å³/cell. The value obtained for the magnetic moment is 0.00 μB per formula unit.

---

KLaSi2 after structural relaxation. Source: Alexandria, functional PBE.

Cell lengths 4.004, 4.715, 6.419 Å; angles 68.48, 90.00, 90.00 degrees
Element x y z (fractional)
K  0.000  0.476  0.423
Si  0.000  0.195  0.986
Si  0.500  0.078  0.219
La  0.500  0.751  0.873

Results
Its energy above the lowest structure with this stoichiometry is 0.00 eV/f.u. The total energy is -17.971 eV for the cell shown. As for the uncorrected formation energy: -0.27 eV/atom. The symmetry is No. 38. As for the volume: 112.7 Å³/cell. The value obtained for the magnetic moment is 0.00 μB per formula unit.

---

KLaSi2 after structural relaxation. Source: Alexandria, functional PBE.

Cell lengths 5.251, 5.251, 5.251 Å; angles 60.00, 60.00, 60.00 degrees
Element x y z (fractional)
La  0.750  0.750  0.750
K  0.500  0.500  0.500
Si  0.000  0.000  0.000
Si  0.250  0.250  0.250

Results
Its energy above the lowest structure with this stoichiometry is 2.81 eV/f.u. The total energy is -15.158 eV for the cell shown. As for the uncorrected formation energy: 0.43 eV/atom. The symmetry is No. 216. As for the volume: 102.4 Å³/cell. The value obtained for the magnetic moment is 0.00 μB per formula unit.